TbPr2Au after structural relaxation. Source: Alexandria via LeMat-Bulk, functional PBE.

Cell: 3.824 12.385 10.236 Å, 90.00 90.00 90.00°
Space group Cmcm (No. 63)
One atom of each set of equivalent atoms:
Tb (0.000, 0.066, 0.250) x4
Pr (0.000, 0.368, 0.051) x8
Au (0.000, 0.242, 0.750) x4

Properties
Energy relative to the elements, eV/atom: -0.398
E above lowest polymorph, meV per atom: 0.0
Crystal system: orthorhombic
Total magnetization, Bohr magnetons per cell: 0.00
V, Å³/cell: 484.77


Tb3Pr2Au2 after structural relaxation. Source: Alexandria via LeMat-Bulk, functional PBE.

Cell: 12.970 3.799 9.304 Å, 90.00 116.86 90.00°
Space group C2/m (No. 12)
One atom of each set of equivalent atoms:
Tb (0.000, 0.000, 0.000) x2
Tb (0.115, 0.000, 0.447) x4
Pr (0.152, 0.500, 0.813) x4
Au (0.164, 0.500, 0.235) x4

Properties
Energy relative to the elements, eV/atom: -0.494
E above lowest polymorph, meV per atom: 0.0
Crystal system: monoclinic
Total magnetization, Bohr magnetons per cell: 0.00
V, Å³/cell: 408.94


Tb4Pr3Au4 after structural relaxation. Source: Alexandria via LeMat-Bulk, functional PBE.

Cell: 4.905 7.822 15.952 Å, 90.00 90.00 90.00°
Space group Immm (No. 71)
One atom of each set of equivalent atoms:
Tb (0.000, 0.214, 0.173) x8
Pr (0.000, 0.000, 0.397) x4
Pr (0.000, 0.500, 0.500) x2
Au (0.000, 0.310, 0.000) x4
Au (0.000, 0.500, 0.293) x4

Properties
Energy relative to the elements, eV/atom: -0.568
Crystal system: orthorhombic
Total magnetization, Bohr magnetons per cell: 0.00
V, Å³/cell: 612.00


Tb3PrAu4 after structural relaxation. Source: Alexandria via LeMat-Bulk, functional PBE.

Cell: 5.1404 5.1404 25.5425 Å, 90.00 90.00 120.00°
Space group R-3m (No. 166, hexagonal axes)
One atom of each set of equivalent atoms:
Tb (0.0000, 0.0000, 0.0000) x3
Tb (0.0000, 0.0000, 0.2511) x6
Pr (0.0000, 0.0000, 0.5000) x3
Au (0.0000, 0.0000, 0.1196) x6
Au (0.0000, 0.0000, 0.3718) x6

Properties
Energy relative to the elements, eV/atom: -0.818
Crystal system: trigonal
Total magnetization, Bohr magnetons per cell: 0.00
V, Å³/cell: 584.51


TbPr3Au3 after structural relaxation. Source: Alexandria via LeMat-Bulk, functional PBE.

Cell: 9.809 11.033 7.435 Å, 90.00 91.61 90.00°
Space group C2/m (No. 12)
One atom of each set of equivalent atoms:
Tb (0.247, 0.000, 0.376) x4
Pr (0.000, 0.241, 0.500) x4
Pr (0.000, 0.323, 0.000) x4
Pr (0.153, 0.000, 0.877) x4
Au (0.064, 0.500, 0.316) x4
Au (0.241, 0.238, 0.223) x8

Properties
Energy relative to the elements, eV/atom: -0.589
Crystal system: monoclinic
Total magnetization, Bohr magnetons per cell: 0.00
V, Å³/cell: 804.33


TbPr2Au3 after structural relaxation. Source: Alexandria via LeMat-Bulk, functional PBE.

Cell: 5.223 15.829 3.681 Å, 90.00 90.00 90.00°
Space group Pmmn (No. 59, origin choice 2)
One atom of each set of equivalent atoms:
Tb (0.250, 0.250, 0.003) x2
Pr (0.250, 0.582, 0.997) x4
Au (0.250, 0.094, 0.503) x4
Au (0.250, 0.750, 0.498) x2

Properties
Energy relative to the elements, eV/atom: -0.775
Crystal system: orthorhombic
Total magnetization, Bohr magnetons per cell: 0.00
V, Å³/cell: 304.40


Tb3Pr4Au4 after structural relaxation. Source: Alexandria via LeMat-Bulk, functional PBE.

Cell: 3.819 9.361 17.603 Å, 90.00 90.00 90.00°
Space group Immm (No. 71)
One atom of each set of equivalent atoms:
Tb (0.000, 0.000, 0.000) x2
Tb (0.000, 0.500, 0.101) x4
Pr (0.000, 0.316, 0.339) x8
Au (0.000, 0.000, 0.263) x4
Au (0.000, 0.177, 0.500) x4

Properties
Energy relative to the elements, eV/atom: -0.503
Crystal system: orthorhombic
Total magnetization, Bohr magnetons per cell: 0.00
V, Å³/cell: 629.26


TbPr2Au after structural relaxation. Source: Alexandria via LeMat-Bulk, functional PBE.

Cell: 3.8031 3.8031 30.6487 Å, 90.00 90.00 120.00°
Space group R3m (No. 160, hexagonal axes)
One atom of each set of equivalent atoms:
Tb (0.0000, 0.0000, 0.0000) x3
Pr (0.0000, 0.0000, 0.2380) x3
Pr (0.0000, 0.0000, 0.4274) x3
Au (0.0000, 0.0000, 0.8323) x3

Properties
Energy relative to the elements, eV/atom: -0.226
E above lowest polymorph, meV per atom: 171.1
Crystal system: trigonal
Total magnetization, Bohr magnetons per cell: 0.01
V, Å³/cell: 383.91